[1]
VASP calculation (PBE) on an optimized crystal structure of Sc6PtO12.

Geometry as extended XYZ:
```
19
Lattice="4.671 2.697 2.935 -4.671 2.697 2.935 0.000 -5.393 2.935" Properties=species:S:1:pos:R:3 pbc="T T T"
Sc -2.507 -2.427 4.633
Sc -3.355 0.958 4.173
Sc 0.848 -3.384 4.173
Sc -0.848 3.384 4.633
Sc 3.355 -0.958 4.633
Sc 2.507 2.427 4.173
Pt 0.000 0.000 4.403
O -1.131 -3.845 3.860
O -3.895 -0.943 4.946
O -1.673 -0.200 3.356
O -2.765 2.902 3.860
O 1.010 -1.349 3.356
O -0.663 -1.549 5.450
O 0.663 1.549 3.356
O -1.010 1.349 5.450
O 2.765 -2.902 4.946
O 1.673 0.200 5.450
O 3.895 0.943 3.860
O 1.131 3.845 4.946
```

Summary:
Raw formation energy in eV per atom: -2.82
Total DFT energy (no corrections) in eV per atom: -8.27
Calculated volume in Å³ per cell: 221.8

[2]
VASP calculation (PBE) on an optimized crystal structure of ScPtO2.

Geometry as extended XYZ:
```
12
Lattice="3.114 0.000 0.000 -1.557 2.697 0.000 0.000 0.000 18.476" Properties=species:S:1:pos:R:3 pbc="T T T"
Sc 0.000 0.000 0.000
Sc 0.000 1.798 12.317
Sc 1.557 0.899 6.159
Pt 0.000 0.000 9.238
Pt 0.000 1.798 3.079
Pt 1.557 0.899 15.396
O 0.000 0.000 7.215
O 0.000 0.000 11.261
O 0.000 1.798 1.056
O 0.000 1.798 5.102
O 1.557 0.899 13.373
O 1.557 0.899 17.419
```

Summary:
Raw formation energy in eV per atom: -2.15
Total DFT energy (no corrections) in eV per atom: -7.72
Calculated volume in Å³ per cell: 155.2

[3]
VASP calculation (PBE) on an optimized crystal structure of Sc4PtO.

Geometry as extended XYZ:
```
12
Lattice="4.535 0.000 0.000 0.000 8.211 0.000 0.000 0.000 6.295" Properties=species:S:1:pos:R:3 pbc="T T T"
Sc 1.134 0.411 1.204
Sc 1.134 2.053 4.620
Sc 1.134 3.695 1.204
Sc 1.134 6.158 3.710
Sc 3.401 2.053 2.585
Sc 3.401 4.516 5.091
Sc 3.401 6.158 1.675
Sc 3.401 7.800 5.091
Pt 1.134 6.158 0.111
Pt 3.401 2.053 6.184
O 1.134 2.053 2.544
O 3.401 6.158 3.751
```

Summary:
Raw formation energy in eV per atom: -1.39
Total DFT energy (no corrections) in eV per atom: -7.45
Calculated volume in Å³ per cell: 234.4

[4]
VASP calculation (PBE) on an optimized crystal structure of ScPtO4.

Geometry as extended XYZ:
```
12
Lattice="3.907 0.000 0.000 0.000 3.907 0.000 0.000 0.000 10.691" Properties=species:S:1:pos:R:3 pbc="T T T"
Sc 0.000 0.000 0.000
Sc 1.954 1.954 5.346
Pt 0.000 1.954 8.018
Pt 1.954 0.000 2.673
O 0.000 0.000 2.234
O 0.000 0.000 8.458
O 0.000 1.954 6.003
O 0.000 1.954 10.034
O 1.954 0.000 0.657
O 1.954 0.000 4.689
O 1.954 1.954 3.112
O 1.954 1.954 7.579
```

Summary:
Raw formation energy in eV per atom: -1.53
Total DFT energy (no corrections) in eV per atom: -6.90
Calculated volume in Å³ per cell: 163.2

[5]
VASP calculation (PBE) on an optimized crystal structure of Sc3PtO.

Geometry as extended XYZ:
```
5
Lattice="4.339 0.000 0.000 0.000 4.339 0.000 0.000 0.000 4.339" Properties=species:S:1:pos:R:3 pbc="T T T"
Sc 0.000 0.000 2.169
Sc 0.000 2.169 0.000
Sc 2.169 0.000 0.000
Pt 2.169 2.169 2.169
O 0.000 0.000 0.000
```

Summary:
Raw formation energy in eV per atom: -1.72
Total DFT energy (no corrections) in eV per atom: -7.72
Calculated volume in Å³ per cell: 81.7

[6]
VASP calculation (PBE) on an optimized crystal structure of ScPt2O.

Geometry as extended XYZ:
```
16
Lattice="4.877 0.000 0.000 0.000 4.877 0.000 0.000 0.000 12.714" Properties=species:S:1:pos:R:3 pbc="T T T"
Sc 0.000 0.000 0.000
Sc 0.000 2.439 3.178
Sc 2.439 0.000 9.535
Sc 2.439 2.439 6.357
Pt 0.679 1.219 7.946
Pt 1.219 3.117 11.124
Pt 1.219 4.199 4.768
Pt 1.760 1.219 1.589
Pt 3.117 3.658 1.589
Pt 3.658 0.679 4.768
Pt 3.658 1.760 11.124
Pt 4.199 3.658 7.946
O 0.000 0.000 6.357
O 0.000 2.439 9.535
O 2.439 0.000 3.178
O 2.439 2.439 0.000
```

Summary:
Raw formation energy in eV per atom: -0.33
Total DFT energy (no corrections) in eV per atom: -6.17
Calculated volume in Å³ per cell: 302.4

[7]
VASP calculation (PBE) on an optimized crystal structure of ScPt3O6.

Geometry as extended XYZ:
```
10
Lattice="3.492 -4.988 0.000 3.492 4.988 0.000 0.000 0.000 3.461" Properties=species:S:1:pos:R:3 pbc="T T T"
Sc 0.000 0.000 0.000
Pt 1.746 2.494 1.730
Pt 1.746 -2.494 1.730
Pt 3.492 0.000 0.000
O 3.492 3.580 1.730
O 1.955 1.277 0.000
O 1.955 -1.277 0.000
O 5.029 1.277 0.000
O 5.029 -1.277 0.000
O 3.492 -3.580 1.730
```

Summary:
Raw formation energy in eV per atom: -1.15
Total DFT energy (no corrections) in eV per atom: -6.57
Calculated volume in Å³ per cell: 120.6

[8]
VASP calculation (PBE) on an optimized crystal structure of Sc6Pt2O.

Geometry as extended XYZ:
```
18
Lattice="5.936 0.000 0.000 0.000 8.212 0.000 -4.658 0.000 6.935" Properties=species:S:1:pos:R:3 pbc="T T T"
Sc -1.263 1.113 3.253
Sc -3.592 2.993 6.721
Sc -2.703 6.089 6.486
Sc -0.374 6.229 3.019
Sc 1.050 0.286 1.235
Sc -1.279 3.820 4.703
Sc 2.556 4.392 2.232
Sc 0.227 7.926 5.700
Sc 1.652 1.983 3.916
Sc 3.981 2.123 0.449
Sc 4.870 5.219 0.215
Sc 2.541 7.100 3.682
Pt -2.454 0.593 5.681
Pt -0.125 3.513 2.213
Pt 1.402 4.699 4.722
Pt 3.731 7.619 1.254
O 0.639 0.000 3.468
O 2.968 4.106 0.000
```

Summary:
Raw formation energy in eV per atom: -1.29
Total DFT energy (no corrections) in eV per atom: -7.41
Calculated volume in Å³ per cell: 338.0